# 1
{
  "formula": "Na3In2Pb7",
  "functional": "PBE",
  "state": "optimized geometry",
  "lattice": [[-1.132, 3.881, -4.408], [3.198, -1.434, -4.847], [-8.890, -7.358, 1.287]],
  "species": ["Na", "Na", "Na", "In", "In", "Pb", "Pb", "Pb", "Pb", "Pb", "Pb", "Pb"],
  "frac_coords": [[0.500, 0.500, 0.000], [0.331, 0.333, 0.664], [0.669, 0.667, 0.336], [0.168, 0.167, 0.336], [0.832, 0.833, 0.664], [0.587, 0.085, 0.172], [0.251, 0.750, 0.500], [0.000, 0.000, 0.000], [0.413, 0.915, 0.828], [0.914, 0.414, 0.828], [0.086, 0.586, 0.172], [0.749, 0.250, 0.500]],
  "n_ef_per_ev_cell": 5.7,
  "energy_ry_per_atom": -0.2230,
  "formation_enthalpy_0k_mev_per_atom": -85
}

***

# 2
{
  "formula": "PuFeCo2",
  "functional": "PBE",
  "state": "optimized geometry",
  "lattice": [[2.818, 0.000, 0.000], [0.000, 2.818, 0.000], [0.000, 0.000, 6.881]],
  "species": ["Co", "Co", "Fe", "Pu"],
  "frac_coords": [[0.000, 0.000, 0.800], [0.000, 0.000, 0.200], [0.500, 0.500, 0.000], [0.500, 0.500, 0.500]],
  "n_ef_per_ev_cell": 6.7,
  "energy_ry_per_atom": -0.6705,
  "formation_enthalpy_0k_mev_per_atom": 129
}

***

# 3
{
  "formula": "BaMgAl2B",
  "functional": "PBE",
  "state": "optimized geometry",
  "lattice": [[5.031, 0.000, 0.000], [0.000, 6.308, 0.000], [0.000, 0.000, 5.031]],
  "species": ["Mg", "B", "Ba", "Al", "Al"],
  "frac_coords": [[0.000, 0.000, 0.000], [0.500, 0.500, 0.500], [0.000, 0.500, 0.000], [0.000, 0.000, 0.500], [0.500, 0.000, 0.000]],
  "n_ef_per_ev_cell": 3.9,
  "energy_ry_per_atom": -0.1626,
  "formation_enthalpy_0k_mev_per_atom": 1323
}

***

# 4
{
  "formula": "IrPtAu2",
  "functional": "PBE",
  "state": "optimized geometry",
  "lattice": [[2.814, -0.008, 0.000], [-1.427, 2.425, 0.000], [0.000, 0.000, 9.808]],
  "species": ["Au", "Au", "Ir", "Pt"],
  "frac_coords": [[0.000, 0.000, 0.002], [0.000, 0.000, 0.498], [0.500, 0.500, 0.250], [0.500, 0.500, 0.750]],
  "n_ef_per_ev_cell": 5.4,
  "energy_ry_per_atom": -0.3748,
  "formation_enthalpy_0k_mev_per_atom": 264
}

***

# 5
{
  "formula": "AcCrCuH6",
  "functional": "PBE",
  "state": "optimized geometry",
  "lattice": [[4.665, 0.000, 0.000], [2.332, 4.040, 0.000], [0.000, 0.000, 4.664]],
  "species": ["Ac", "Cr", "Cu", "H", "H", "H", "H", "H", "H"],
  "frac_coords": [[0.000, 0.000, 0.000], [0.333, 0.333, 0.500], [0.667, 0.667, 0.500], [0.011, 0.494, 0.256], [0.494, 0.012, 0.744], [0.494, 0.494, 0.744], [0.011, 0.494, 0.744], [0.494, 0.494, 0.256], [0.494, 0.012, 0.256]],
  "n_ef_per_ev_cell": 1.3,
  "energy_ry_per_atom": -0.3288
}

***

# 6
{
  "formula": "LaTmZnCu",
  "functional": "PBE",
  "state": "optimized geometry",
  "lattice": [[-2.457, 1.443, -2.136], [-1.783, -3.082, -0.032], [-3.809, 2.142, 5.827]],
  "species": ["La", "Tm", "Zn", "Cu"],
  "frac_coords": [[0.500, 0.500, 0.110], [0.500, 0.500, 0.596], [0.000, 0.000, 0.826], [0.000, 0.000, 0.396]],
  "n_ef_per_ev_cell": 3.5,
  "energy_ry_per_atom": -0.2909,
  "formation_enthalpy_0k_mev_per_atom": -265
}

***

# 7
{
  "formula": "AlCdOs2",
  "functional": "PBE",
  "state": "optimized geometry",
  "lattice": [[3.716, 0.000, 0.000], [0.000, 2.836, 0.007], [0.000, 2.822, 6.083]],
  "species": ["Os", "Os", "Al", "Cd"],
  "frac_coords": [[0.000, 0.963, 0.037], [0.500, 0.253, 0.247], [0.000, 0.535, 0.465], [0.500, 0.749, 0.751]],
  "n_ef_per_ev_cell": 2.7,
  "energy_ry_per_atom": -0.4801,
  "formation_enthalpy_0k_mev_per_atom": 248
}

***

# 8
{
  "formula": "TlHg2Ru",
  "functional": "PBE",
  "state": "optimized geometry",
  "lattice": [[9.987, -0.005, -0.003], [9.472, 3.166, -0.003], [9.472, 1.539, 2.767]],
  "species": ["Hg", "Hg", "Ru", "Tl"],
  "frac_coords": [[0.998, 0.998, 0.998], [0.240, 0.240, 0.240], [0.501, 0.501, 0.501], [0.761, 0.761, 0.761]],
  "n_ef_per_ev_cell": 3.6,
  "energy_ry_per_atom": -0.1891,
  "formation_enthalpy_0k_mev_per_atom": 489
}